This record from the Alexandria database describes an optimized crystal structure of Cr2Ga2Hg. The functional is GGA-PBE.

It has space group P4/mbm (No. 127), with a = 7.0368 Å, b = 7.0368 Å, c = 3.1440 Å, α = 90.00°, β = 90.00° and γ = 90.00°. The distinct sites, in fractional coordinates, are Cr at (0.1060, 0.3940, 0.0000), Ga at (0.1826, 0.6826, 0.5000) and Hg at (0.0000, 0.0000, 0.0000).

As for the calculated volume: 155.68 Å³/cell. The calculation puts the total magnetization at 0.000 μB/atom. The value obtained for the energy above the most stable polymorph in this dataset is 0.0000 eV per atom. Its energy is -48.8 eV/cell. Its formation energy is 0.24 eV/atom.